A relaxed structure of RbZn2SbCl8, computed with PBE.

Density (g cm⁻³): 2.78
E (eV per cell): -36.4
SG: No. 148

abc: 10.9245 10.9245 10.9245
angles: 34.39 34.39 34.39
Last column: nearest neighbours and their distance in Å.
Element x y z (fractional)
Rb  0.0000  0.0000  0.0000  12 Cl 3.77-4.12
Zn  0.2443  0.2443  0.2443  4 Cl 2.21-2.33
Zn  0.7557  0.7557  0.7557  4 Cl 2.21-2.33
Sb  0.5000  0.5000  0.5000  6 Cl 2.68
Cl  0.1177  0.4407  0.7866  1 Zn 2.33
Cl  0.2134  0.8823  0.5593  1 Zn 2.33
Cl  0.3160  0.3160  0.3160  1 Zn 2.21
Cl  0.4407  0.7866  0.1177  1 Zn 2.33
Cl  0.5593  0.2134  0.8823  1 Zn 2.33
Cl  0.6840  0.6840  0.6840  1 Zn 2.21
Cl  0.7866  0.1177  0.4407  1 Zn 2.33
Cl  0.8823  0.5593  0.2134  1 Zn 2.33

A relaxed structure of BaGaAgCl6, computed with PBE.

Density (g cm⁻³): 3.35
E (eV per cell): -31.2
SG: No. 149

abc: 6.8313 6.8313 6.4732
angles: 90.00 90.00 120.00
Last column: nearest neighbours and their distance in Å.
Element x y z (fractional)
Ba  0.0000  0.0000  0.0000  6 Cl 3.12
Ga  0.3333  0.6667  0.5000  6 Cl 2.41
Ag  0.6667  0.3333  0.5000  6 Cl 2.76
Cl  0.0392  0.3872  0.2839  1 Ga 2.41
Cl  0.0392  0.6520  0.7161  1 Ga 2.41
Cl  0.3480  0.3872  0.7161  1 Ga 2.41
Cl  0.3480  0.9608  0.2839  1 Ga 2.41
Cl  0.6128  0.6520  0.2839  1 Ga 2.41
Cl  0.6128  0.9608  0.7161  1 Ga 2.41

A relaxed structure of Li3Sc, computed with PBE.

Density (g cm⁻³): 0.50
Energy above the most stable polymorph in this dataset (meV/atom): 1115
E (eV per cell): -7.2
SG: No. 221

abc: 6.0384 6.0384 6.0384
angles: 90.00 90.00 90.00
Last column: nearest neighbours and their distance in Å.
Element x y z (fractional)
Li  0.0000  0.0000  0.5000  2 Sc 3.02
Li  0.0000  0.5000  0.0000  2 Sc 3.02
Li  0.5000  0.0000  0.0000  2 Sc 3.02
Sc  0.0000  0.0000  0.0000  6 Li 3.02

A relaxed structure of NaGaTe2, computed with PBE.

Density (g cm⁻³): 4.52
E (eV per cell): -50.3
SG: No. 14

abc: 7.3030 5.5994 12.5482
angles: 90.00 94.68 90.00
Last column: nearest neighbours and their distance in Å.
Element x y z (fractional)
Na  0.1938  0.0388  0.2128  5 Te 3.13-3.37
Na  0.1938  0.4612  0.7128  5 Te 3.13-3.37
Na  0.8062  0.5388  0.2872  5 Te 3.13-3.37
Na  0.8062  0.9612  0.7872  5 Te 3.13-3.37
Ga  0.4266  0.6931  0.0169  1 Ga 2.47, 2 Te 2.69-2.72
Ga  0.4266  0.8069  0.5169  1 Ga 2.47, 2 Te 2.69-2.72
Ga  0.5734  0.1930  0.4831  1 Ga 2.47, 2 Te 2.69-2.72
Ga  0.5734  0.3070  0.9831  1 Ga 2.47, 2 Te 2.69-2.72
Te  0.1049  0.5278  0.0994  1 Ga 2.80, 1 Te 2.84, 1 Na 3.13
Te  0.1049  0.9722  0.5994  1 Ga 2.80, 1 Te 2.84, 1 Na 3.13
Te  0.3857  0.5059  0.3495  2 Ga 2.69-2.72
Te  0.3857  0.9941  0.8495  2 Ga 2.69-2.72
Te  0.6143  0.0059  0.1505  2 Ga 2.69-2.72
Te  0.6143  0.4941  0.6505  2 Ga 2.69-2.72
Te  0.8951  0.0278  0.4006  1 Ga 2.80, 1 Te 2.84, 1 Na 3.13
Te  0.8951  0.4722  0.9006  1 Ga 2.80, 1 Te 2.84, 1 Na 3.13

A relaxed structure of Ni2HgPd9, computed with PBE.

Density (g cm⁻³): 11.60
E (eV per cell): -58.7
SG: No. 123

abc: 3.9364 3.9364 11.7823
angles: 90.00 90.00 90.00
Last column: nearest neighbours and their distance in Å.
Element x y z (fractional)
Ni  0.0000  0.0000  0.1593  12 Pd 2.72-2.78
Ni  0.0000  0.0000  0.8407  12 Pd 2.72-2.78
Hg  0.0000  0.0000  0.5000  12 Pd 2.78-2.90
Pd  0.0000  0.5000  0.0000  8 Pd 2.72-2.78, 4 Ni 2.72
Pd  0.0000  0.5000  0.3196  2 Ni 2.73, 8 Pd 2.73-2.90, 2 Hg 2.90
Pd  0.0000  0.5000  0.6804  2 Ni 2.73, 8 Pd 2.73-2.90, 2 Hg 2.90
Pd  0.5000  0.0000  0.0000  8 Pd 2.72-2.78, 4 Ni 2.72
Pd  0.5000  0.0000  0.3196  2 Ni 2.73, 8 Pd 2.73-2.90, 2 Hg 2.90
Pd  0.5000  0.0000  0.6804  2 Ni 2.73, 8 Pd 2.73-2.90, 2 Hg 2.90
Pd  0.5000  0.5000  0.1592  8 Pd 2.72-2.73, 4 Ni 2.78
Pd  0.5000  0.5000  0.5000  4 Hg 2.78, 8 Pd 2.90
Pd  0.5000  0.5000  0.8408  8 Pd 2.72-2.73, 4 Ni 2.78

A relaxed structure of Li2SiCS, computed with PBE.

Density (g cm⁻³): 2.11
E (eV per cell): -19.0
SG: No. 123

abc: 4.2762 4.2762 3.7109
angles: 90.00 90.00 90.00
Last column: nearest neighbours and their distance in Å.
Element x y z (fractional)
Li  0.0000  0.5000  0.0000  2 C 2.14
Li  0.5000  0.0000  0.0000  2 C 2.14
Si  0.0000  0.0000  0.5000  8 Li 2.83, 4 S 3.02
C  0.5000  0.5000  0.0000  2 S 1.86
S  0.5000  0.5000  0.5000  2 C 1.86